# 1
A plane-wave DFT calculation with PBE was carried out for an optimized crystal structure of Sc2GaCu.

Structure (POSCAR):
```
Sc2GaCu
1.0
-4.169 -3.144 -3.931
3.231 -5.771 1.189
-3.968 -1.163 5.138
Sc Ga Cu
8 4 4
direct
0.750 0.990 0.250 Sc
0.250 0.010 0.250 Sc
0.250 0.490 0.250 Sc
0.250 0.490 0.750 Sc
0.750 0.510 0.750 Sc
0.750 0.510 0.250 Sc
0.250 0.010 0.750 Sc
0.750 0.990 0.750 Sc
0.517 0.250 0.500 Ga
0.983 0.250 0.000 Ga
0.483 0.750 0.500 Ga
0.017 0.750 0.000 Ga
0.475 0.750 0.000 Cu
0.975 0.250 0.500 Cu
0.025 0.750 0.500 Cu
0.525 0.250 0.000 Cu
```

Final energy ... -5.302 eV/atom
Space group ... No. 74
M_tot ... 0.12 μB per cell



# 2
A plane-wave DFT calculation with PBE was carried out for an optimized crystal structure of Sc2GaCu.

Structure (POSCAR):
```
Sc2GaCu
1.0
-1.768 0.828 -3.881
-2.349 0.533 3.615
3.109 9.523 0.616
Cu Sc Ga
2 4 2
direct
0.000 0.000 0.500 Cu
0.000 0.000 0.000 Cu
0.667 0.333 0.101 Sc
0.333 0.667 0.601 Sc
0.333 0.667 0.899 Sc
0.667 0.333 0.399 Sc
0.667 0.333 0.750 Ga
0.333 0.667 0.250 Ga
```

Final energy ... -4.871 eV/atom
Space group ... No. 194
M_tot ... 0.01 μB per cell



Q: Which formula does entry 1 have?
A: Sc2GaCu



Q: Among the records above, which one has the lowest M_tot?
A: number 2



Q: final energy of number 1 (Sc2GaCu)?
A: -5.302 eV/atom



Q: Which formula does entry 2 have?
A: Sc2GaCu